TcAsAuBr2 after structural relaxation. Source: the Alexandria database, functional PBE-GGA.

Values from the calculation:
* formation energy without anion corrections: 575 meV per atom
* ΔE to the lowest computed polymorph: 0 meV per atom

Cell lengths 5.164, 5.164, 4.758 Å; angles 90.00, 90.00, 90.00 degrees
Space group P4/mmm (No. 123)
Asymmetric unit:
Tc1 0.000 0.000 0.000
As1 0.000 0.000 0.500
Au1 0.500 0.500 0.500
Br1 0.000 0.500 0.000